1.
# Pa2TeS2, optimized geometry, DFT GGA-PBE
data_Pa2TeS2
_space_group_name_H-M_alt 'P 63/m m c'
_space_group_IT_number 194
_space_group_name_Hall '-P 6c 2c'
_cell_length_a 4.0867
_cell_length_b 4.0867
_cell_length_c 20.9563
_cell_angle_alpha 90.00
_cell_angle_beta 90.00
_cell_angle_gamma 120.00
loop_
_atom_site_label
_atom_site_type_symbol
_atom_site_fract_x
_atom_site_fract_y
_atom_site_fract_z
Pa1 Pa 0.0000 0.0000 0.1518
Te1 Te 0.3333 0.6667 0.2500
S1 S 0.3333 0.6667 0.5881
# - VASP energy: -7.223 eV/atom
# - Crystal system: hexagonal
# - Polymorph energy (0 for the lowest one): 2.42 kJ/mol of atoms
# - Total magnetization: 4.42 μB/cell

---

2.
# PaTeS2, optimized geometry, DFT GGA-PBE
data_PaTeS2
_space_group_name_H-M_alt 'R -3 m'
_space_group_IT_number 166
_space_group_name_Hall '-R 3 2"'
_cell_length_a 3.5056
_cell_length_b 3.5056
_cell_length_c 27.8597
_cell_angle_alpha 90.00
_cell_angle_beta 90.00
_cell_angle_gamma 120.00
loop_
_atom_site_label
_atom_site_type_symbol
_atom_site_fract_x
_atom_site_fract_y
_atom_site_fract_z
Pa1 Pa 0.0000 0.0000 0.0000
Te1 Te 0.0000 0.0000 0.5000
S1 S 0.0000 0.0000 0.0905
# - VASP energy: -5.086 eV/atom
# - Crystal system: trigonal
# - Polymorph energy (0 for the lowest one): 116.67 kJ/mol of atoms
# - Total magnetization: 1.78 μB/cell

---

3.
# Pa3TeS5, optimized geometry, DFT GGA-PBE
data_Pa3TeS5
_space_group_name_H-M_alt 'C 1 2/m 1'
_space_group_IT_number 12
_cell_length_a 12.737
_cell_length_b 8.878
_cell_length_c 10.155
_cell_angle_alpha 90.00
_cell_angle_beta 114.54
_cell_angle_gamma 90.00
loop_
_space_group_symop_operation_xyz
'x,y,z'
'-x,-y,-z'
'-x,y,-z'
'x,-y,z'
'x+1/2,y+1/2,z'
'-x+1/2,-y+1/2,-z'
'-x+1/2,y+1/2,-z'
'x+1/2,-y+1/2,z'
loop_
_atom_site_label
_atom_site_type_symbol
_atom_site_fract_x
_atom_site_fract_y
_atom_site_fract_z
Pa1 Pa 0.000 0.000 0.000
Pa2 Pa 0.000 0.000 0.500
Pa3 Pa 0.133 0.500 0.180
Pa4 Pa 0.171 0.500 0.667
Te1 Te 0.131 0.000 0.821
S1 S 0.000 0.307 0.500
S2 S 0.093 0.500 0.886
S3 S 0.155 0.195 0.180
S4 S 0.227 0.000 0.528
# - VASP energy: -7.130 eV/atom
# - Crystal system: monoclinic
# - Total magnetization: 12.12 μB/cell

---

4.
# Pa4Te3S2, optimized geometry, DFT GGA-PBE
data_Pa4Te3S2
_space_group_name_H-M_alt 'C 1 2/m 1'
_space_group_IT_number 12
_cell_length_a 14.230
_cell_length_b 3.879
_cell_length_c 8.922
_cell_angle_alpha 90.00
_cell_angle_beta 100.14
_cell_angle_gamma 90.00
loop_
_space_group_symop_operation_xyz
'x,y,z'
'-x,-y,-z'
'-x,y,-z'
'x,-y,z'
'x+1/2,y+1/2,z'
'-x+1/2,-y+1/2,-z'
'-x+1/2,y+1/2,-z'
'x+1/2,-y+1/2,z'
loop_
_atom_site_label
_atom_site_type_symbol
_atom_site_fract_x
_atom_site_fract_y
_atom_site_fract_z
Pa1 Pa 0.077 0.000 0.194
Pa2 Pa 0.168 0.500 0.590
Te1 Te 0.000 0.000 0.500
Te2 Te 0.101 0.500 0.908
S1 S 0.208 0.500 0.295
# - VASP energy: -7.270 eV/atom
# - Crystal system: monoclinic
# - Total magnetization: 4.85 μB/cell

---

5.
# PaTeS, optimized geometry, DFT GGA-PBE
data_PaTeS
_space_group_name_H-M_alt 'I 4 m m'
_space_group_IT_number 107
_space_group_name_Hall 'I 4 -2'
_cell_length_a 3.681
_cell_length_b 3.681
_cell_length_c 10.667
_cell_angle_alpha 90.00
_cell_angle_beta 90.00
_cell_angle_gamma 90.00
loop_
_atom_site_label
_atom_site_type_symbol
_atom_site_fract_x
_atom_site_fract_y
_atom_site_fract_z
Pa1 Pa 0.000 0.000 0.000
Te1 Te 0.000 0.000 0.319
S1 S 0.000 0.000 0.605
# - VASP energy: -6.733 eV/atom
# - Crystal system: tetragonal
# - Polymorph energy (0 for the lowest one): 12.24 kJ/mol of atoms
# - Total magnetization: 0.79 μB/cell

---

6.
# PaTeS, optimized geometry, DFT GGA-PBE
data_PaTeS
_space_group_name_H-M_alt 'F -4 3 m'
_space_group_IT_number 216
_space_group_name_Hall 'F -4 2 3'
_cell_length_a 7.015
_cell_length_b 7.015
_cell_length_c 7.015
_cell_angle_alpha 90.00
_cell_angle_beta 90.00
_cell_angle_gamma 90.00
loop_
_atom_site_label
_atom_site_type_symbol
_atom_site_fract_x
_atom_site_fract_y
_atom_site_fract_z
Pa1 Pa 0.000 0.000 0.000
Te1 Te 0.250 0.250 0.750
S1 S 0.250 0.250 0.250
# - VASP energy: -6.552 eV/atom
# - Crystal system: cubic
# - Polymorph energy (0 for the lowest one): 29.71 kJ/mol of atoms
# - Total magnetization: 4.03 μB/cell